VASP calculation (PBE-GGA) on a relaxed FeCuIr3 crystal.

```
FeCuIr3
1.0
4.4296 0.0000 0.0000
0.0000 4.4296 0.0000
0.0000 0.0000 4.4296
Fe Cu Ir
1 1 3
direct
0.0000 0.0000 0.0000 Fe
0.5000 0.5000 0.5000 Cu
0.0000 0.0000 0.5000 Ir
0.0000 0.5000 0.0000 Ir
0.5000 0.0000 0.0000 Ir
```

DFT formation energy: 1.54 eV per atom
N(E_F): 6.194 states/eV per cell
Space group: Pm-3m (221)
Relative energy among the computed polymorphs: 0 kJ/mol of formula units